DFT (PBE) results for TaCoNi after structural relaxation.

Structure (extended XYZ):
```
3
Lattice="-1.1084 2.7600 2.6545 -3.5352 -0.2905 1.8194 -0.1779 -0.9192 3.8750" Properties=species:S:1:pos:R:3 pbc="T T T"
Co -3.6162 1.1627 6.2616
Ta -2.4108 0.7751 4.1744
Ni 0.0000 0.0000 0.0000
```

Calculated values
DOS(E_F) (states/eV per cell): 2.0
Energy above the most stable polymorph in this dataset (meV per atom): 508
Calculated formation energy (meV/atom): 238
Space-group type: F-43m (216)
E_tot (eV per atom): -8.008